(1)
The following is a DFT calculation (PBE-GGA) of an optimized crystal structure of NdIn3Pt.

The space group is Pm-3n (No. 223) and the conventional cell measures 9.853, 9.853 and 9.853 Å, with angles of 90.00, 90.00 and 90.00 degrees. The inequivalent atoms are Nd at (0.000, 0.000, 0.000), Nd at (0.000, 0.250, 0.500), In at (0.000, 0.318, 0.152) and Pt at (0.250, 0.250, 0.250).

Its calculated formation energy is -594.2 meV/atom. Its energy above the lowest structure with this stoichiometry is 0.00 eV/f.u. For the density, the calculation gives 9.5 g/cm3. Its calculated volume is 956.7 Å³ per cell. For the density of states at the Fermi level, the calculation gives 16.26 states/eV/cell. As for the crystal system: cubic. As for the magnetic moment: 0.00 μB per atom.



(2)
The following is a DFT calculation (PBE-GGA) of an optimized crystal structure of ZnSbCl2.

The space group is Pm (No. 6) and the conventional cell measures 5.411, 3.413 and 5.634 Å, with angles of 90.00, 98.75 and 90.00 degrees. The inequivalent atoms are Zn at (0.000, 0.000, 0.000), Sb at (0.690, 0.500, 0.693), Cl at (0.031, 0.000, 0.408) and Cl at (0.391, 0.500, 0.008).

Its energy above the lowest structure with this stoichiometry is 0.21 eV/f.u. For the density, the calculation gives 4.2 g/cm3. Its calculated volume is 102.8 Å³ per cell. For the density of states at the Fermi level, the calculation gives 1.86 states/eV/cell. For the energy relative to the elements, uncorrected, the calculation gives -497 meV per atom. As for the crystal system: monoclinic. As for the magnetic moment: 0.00 μB per atom.



(3)
The following is a DFT calculation (PBE-GGA) of an optimized crystal structure of TiMnSn2.

The space group is Fm-3m (No. 225) and the conventional cell measures 6.631, 6.631 and 6.631 Å, with angles of 90.00, 90.00 and 90.00 degrees. The inequivalent atoms are Ti at (0.000, 0.000, 0.000), Mn at (0.000, 0.000, 0.500) and Sn at (0.250, 0.250, 0.250).

Its calculated formation energy is 219.3 meV/atom. Its energy above the lowest structure with this stoichiometry is 0.96 eV/f.u. For the density, the calculation gives 7.7 g/cm3. Its calculated volume is 291.6 Å³ per cell. For the density of states at the Fermi level, the calculation gives 23.83 states/eV/cell. As for the crystal system: cubic. As for the magnetic moment: 0.22 μB per atom.



(4)
The following is a DFT calculation (PBE-GGA) of an optimized crystal structure of NaCd3As.

The space group is Pm-3m (No. 221) and the conventional cell measures 5.417, 5.417 and 5.417 Å, with angles of 90.00, 90.00 and 90.00 degrees. The inequivalent atoms are Na at (0.000, 0.000, 0.000), Cd at (0.000, 0.500, 0.500) and As at (0.500, 0.500, 0.500).

Its calculated formation energy is 186.9 meV/atom. Its energy above the lowest structure with this stoichiometry is 0.00 eV/f.u. For the density, the calculation gives 4.5 g/cm3. Its calculated volume is 159.0 Å³ per cell. For the density of states at the Fermi level, the calculation gives 1.92 states/eV/cell. As for the crystal system: cubic. As for the magnetic moment: 0.00 μB per atom.



> What is the density of states at the Fermi level in the first record?

16.26 states/eV/cell



> Number 4 is which compound?

NaCd3As